Computed, not measured: an optimized crystal structure of Al2SnBr at the PBEsol level of DFT.

Computed properties:
ΔE_f (raw), kJ/mol of formula units: 52
Fermi-level density of states, states/eV/cell: 9.5
Uncorrected energy, hartree per atom: -0.1265
Magnetic moment, μB per cell: 0.000

Lattice parameters (Å, degrees): 7.0350 7.0350 7.0350 90.00 90.00 90.00
Last column: nearest neighbours and their distance in Å.
Element x y z (fractional)
Al 0.2500 0.2500 0.2500  4 Sn 3.05, 4 Br 3.05
Al 0.2500 0.2500 0.7500  4 Sn 3.05, 4 Br 3.05
Al 0.2500 0.7500 0.2500  4 Sn 3.05, 4 Br 3.05
Al 0.2500 0.7500 0.7500  4 Sn 3.05, 4 Br 3.05
Al 0.7500 0.2500 0.2500  4 Sn 3.05, 4 Br 3.05
Al 0.7500 0.2500 0.7500  4 Sn 3.05, 4 Br 3.05
Al 0.7500 0.7500 0.2500  4 Sn 3.05, 4 Br 3.05
Al 0.7500 0.7500 0.7500  4 Sn 3.05, 4 Br 3.05
Sn 0.0000 0.0000 0.0000  8 Al 3.05
Sn 0.0000 0.5000 0.5000  8 Al 3.05
Sn 0.5000 0.0000 0.5000  8 Al 3.05
Sn 0.5000 0.5000 0.0000  8 Al 3.05
Br 0.0000 0.0000 0.5000  8 Al 3.05
Br 0.0000 0.5000 0.0000  8 Al 3.05
Br 0.5000 0.0000 0.0000  8 Al 3.05
Br 0.5000 0.5000 0.5000  8 Al 3.05

---

Computed, not measured: an optimized crystal structure of SrAl2Br at the PBEsol level of DFT.

Computed properties:
ΔE_f (raw), kJ/mol of formula units: -129
Fermi-level density of states, states/eV/cell: 10.9
Uncorrected energy, hartree per atom: -0.1216
Magnetic moment, μB per cell: 0.003

Lattice parameters (Å, degrees): 4.1148 4.1148 26.3377 90.00 90.00 90.00
Last column: nearest neighbours and their distance in Å.
Element x y z (fractional)
Sr 0.0000 0.0000 0.0000  4 Br 2.91
Sr 0.0000 0.5000 0.2500  4 Br 2.91
Sr 0.5000 0.0000 0.7500  4 Br 2.91
Sr 0.5000 0.5000 0.5000  4 Br 2.91
Al 0.2339 0.2500 0.1250  4 Al 2.82-3.00
Al 0.2500 0.7339 0.3750  4 Al 2.82-3.00
Al 0.2500 0.7661 0.8750  4 Al 2.82-3.00
Al 0.2661 0.2500 0.6250  4 Al 2.82-3.00
Al 0.7339 0.7500 0.6250  4 Al 2.82-3.00
Al 0.7500 0.2339 0.8750  4 Al 2.82-3.00
Al 0.7500 0.2661 0.3750  4 Al 2.82-3.00
Al 0.7661 0.7500 0.1250  4 Al 2.82-3.00
Br 0.0000 0.0000 0.5000  4 Sr 2.91
Br 0.0000 0.5000 0.7500  4 Sr 2.91
Br 0.5000 0.0000 0.2500  4 Sr 2.91
Br 0.5000 0.5000 0.0000  4 Sr 2.91

---

Computed, not measured: an optimized crystal structure of SrAlBr2 at the PBEsol level of DFT.

Computed properties:
ΔE_f (raw), kJ/mol of formula units: -358
Fermi-level density of states, states/eV/cell: 1.4
Uncorrected energy, hartree per atom: -0.1229
Magnetic moment, μB per cell: 0.000

Lattice parameters (Å, degrees): 3.6448 3.6812 9.2197 90.00 90.38 90.00
Last column: nearest neighbours and their distance in Å.
Element x y z (fractional)
Sr 0.0000 0.0000 0.0000  8 Br 3.12
Al 0.5000 0.0000 0.5000  4 Br 3.41, 4 Al 3.64-3.68
Br 0.4968 0.5000 0.8108  4 Sr 3.12, 2 Al 3.41, 1 Br 3.49
Br 0.5032 0.5000 0.1892  4 Sr 3.12, 2 Al 3.41, 1 Br 3.49

---

Computed, not measured: an optimized crystal structure of SrAl2Br at the PBEsol level of DFT.

Computed properties:
ΔE_f (raw), kJ/mol of formula units: -136
Fermi-level density of states, states/eV/cell: 2.0
Uncorrected energy, hartree per atom: -0.1223
Magnetic moment, μB per cell: 0.000

Lattice parameters (Å, degrees): 3.7178 6.5712 4.4907 90.00 90.14 90.00
Last column: nearest neighbours and their distance in Å.
Element x y z (fractional)
Sr 0.0000 0.0000 0.0000  4 Br 2.91-2.92
Al 0.2579 0.5000 0.7644  4 Al 2.77-3.05
Al 0.7421 0.5000 0.2356  4 Al 2.77-3.05
Br 0.5000 0.0000 0.5000  4 Sr 2.91-2.92